Record 1
VASP calculation (PBE) on crystalline NdAgHg at its relaxed geometry.

Formation enthalpy at 0 K = -8 meV/atom

a = 5.016 Å, b = 5.016 Å, c = 5.016 Å
α = 60.00°, β = 60.00°, γ = 60.00°
Sites, in units of the cell vectors:
Nd 0.000 0.000 0.000
Ag 0.250 0.250 0.250
Hg 0.750 0.750 0.750

Record 2
VASP calculation (PBE) on crystalline KNaWSe3 at its relaxed geometry.

DFT total energy = -4.720 eV/atom

a = 7.729 Å, b = 7.729 Å, c = 10.512 Å
α = 90.00°, β = 90.00°, γ = 150.06°
Sites, in units of the cell vectors:
Se 0.885 0.115 0.486
K 0.232 0.768 0.250
Na 0.060 0.940 0.750
Se 0.115 0.885 0.986
Se 0.557 0.443 0.250
W 0.500 0.500 0.000
Na 0.940 0.060 0.250
Se 0.443 0.557 0.750
W 0.500 0.500 0.500
Se 0.115 0.885 0.514
Se 0.885 0.115 0.014
K 0.768 0.232 0.750

Record 3
VASP calculation (PBE) on crystalline BaLaRe at its relaxed geometry.

Polymorph energy (0 for the lowest one) = 0.0 meV/atom

a = 5.112 Å, b = 5.112 Å, c = 5.112 Å
α = 60.00°, β = 60.00°, γ = 60.00°
Sites, in units of the cell vectors:
Re 0.000 0.000 0.000
Ba 0.250 0.250 0.250
La 0.750 0.750 0.750

Record 4
VASP calculation (PBE) on crystalline Pr3Al at its relaxed geometry.

Polymorph energy (0 for the lowest one) = 5.6 meV/atom

a = 4.942 Å, b = 4.942 Å, c = 4.942 Å
α = 90.00°, β = 90.00°, γ = 90.00°
Sites, in units of the cell vectors:
Pr 0.500 0.000 0.500
Pr 0.500 0.500 0.000
Al 0.000 0.000 0.000
Pr 0.000 0.500 0.500

no.,calculated volume (Å³/atom)
1,29.8
2,26.1
3,31.5
4,30.2